No. 1
VASP calculation (PBE) on a geometry-optimized GeCSeN2 structure.

Computed properties:
* crystal system: tetragonal
* formation energy from raw total energies: 2.155 eV/atom
* N(E_F): 2.3 states/eV/f.u.

CIF file:
```
data_GeCSeN2
_chemical_formula_sum 'Ge1 C1 Se1 N2'
_space_group_name_H-M_alt 'P 4/m m m'
_space_group_IT_number 123
_space_group_name_Hall '-P 4 2'
_cell_length_a 3.514
_cell_length_b 3.514
_cell_length_c 7.467
_cell_angle_alpha 90.00
_cell_angle_beta 90.00
_cell_angle_gamma 90.00
loop_
_atom_site_label
_atom_site_fract_x
_atom_site_fract_y
_atom_site_fract_z
_atom_site_occupancy
Ge1 0.000 0.000 0.000 1
C1 0.500 0.500 0.500 1
Se1 0.000 0.000 0.500 1
N1 0.000 0.500 0.000 1
```

---

No. 2
VASP calculation (PBE) on a geometry-optimized MgTa3 structure.

Computed properties:
* crystal system: orthorhombic
* energy of formation from the pure elements: 1.12 eV/f.u.
* N(E_F): 3.5 states/eV/f.u.

CIF file:
```
data_MgTa3
_chemical_formula_sum 'Mg4 Ta12'
_space_group_name_H-M_alt 'P n m a'
_space_group_IT_number 62
_cell_length_a 5.268
_cell_length_b 9.737
_cell_length_c 5.828
_cell_angle_alpha 90.00
_cell_angle_beta 90.00
_cell_angle_gamma 90.00
loop_
_space_group_symop_operation_xyz
'x,y,z'
'-x,-y,-z'
'-x+1/2,-y,z+1/2'
'x+1/2,y,-z+1/2'
'x+1/2,-y+1/2,-z+1/2'
'-x+1/2,y+1/2,z+1/2'
'-x,y+1/2,-z'
'x,-y+1/2,z'
loop_
_atom_site_label
_atom_site_fract_x
_atom_site_fract_y
_atom_site_fract_z
_atom_site_occupancy
Mg1 0.061 0.250 0.139 1
Ta1 0.030 0.250 0.651 1
Ta2 0.249 0.504 0.888 1
```

---

No. 3
VASP calculation (PBE) on a geometry-optimized MgCdHg2 structure.

Computed properties:
* crystal system: orthorhombic
* energy of formation from the pure elements: -0.30 eV/f.u.
* N(E_F): 0.9 states/eV/f.u.

CIF file:
```
data_MgCdHg2
_chemical_formula_sum 'Mg1 Cd1 Hg2'
_space_group_name_H-M_alt 'P m m 2'
_space_group_IT_number 25
_cell_length_a 3.719
_cell_length_b 4.149
_cell_length_c 5.953
_cell_angle_alpha 90.00
_cell_angle_beta 90.00
_cell_angle_gamma 90.00
loop_
_space_group_symop_operation_xyz
'x,y,z'
'-x,-y,z'
'-x,y,z'
'x,-y,z'
loop_
_atom_site_label
_atom_site_fract_x
_atom_site_fract_y
_atom_site_fract_z
_atom_site_occupancy
Mg1 0.000 0.000 0.000 1
Cd1 0.500 0.500 0.280 1
Hg1 0.000 0.000 0.502 1
Hg2 0.500 0.500 0.786 1
```

---

No. 4
VASP calculation (PBE) on a geometry-optimized Pa3CoIr structure.

Computed properties:
* crystal system: monoclinic
* energy of formation from the pure elements: -2.17 eV/f.u.
* N(E_F): 8.8 states/eV/f.u.

CIF file:
```
data_Pa3CoIr
_chemical_formula_sum 'Pa6 Co2 Ir2'
_space_group_name_H-M_alt 'P 1 21/m 1'
_space_group_IT_number 11
_cell_length_a 6.406
_cell_length_b 3.556
_cell_length_c 9.404
_cell_angle_alpha 90.00
_cell_angle_beta 90.08
_cell_angle_gamma 90.00
loop_
_space_group_symop_operation_xyz
'x,y,z'
'-x,-y,-z'
'-x,y+1/2,-z'
'x,-y+1/2,z'
loop_
_atom_site_label
_atom_site_fract_x
_atom_site_fract_y
_atom_site_fract_z
_atom_site_occupancy
Pa1 0.229 0.250 0.250 1
Pa2 0.243 0.750 0.547 1
Pa3 0.243 0.750 0.953 1
Co1 0.037 0.250 0.750 1
Ir1 0.446 0.250 0.750 1
```

---

No. 5
VASP calculation (PBE) on a geometry-optimized PaOsBr2O6 structure.

Computed properties:
* crystal system: monoclinic
* formation energy from raw total energies: -1.321 eV/atom
* N(E_F): 6.7 states/eV/f.u.

CIF file:
```
data_PaOsBr2O6
_chemical_formula_sum 'Pa2 Os2 Br4 O12'
_space_group_name_H-M_alt 'C 1 2/m 1'
_space_group_IT_number 12
_cell_length_a 9.916
_cell_length_b 6.340
_cell_length_c 5.308
_cell_angle_alpha 90.00
_cell_angle_beta 122.27
_cell_angle_gamma 90.00
loop_
_space_group_symop_operation_xyz
'x,y,z'
'-x,-y,-z'
'-x,y,-z'
'x,-y,z'
'x+1/2,y+1/2,z'
'-x+1/2,-y+1/2,-z'
'-x+1/2,y+1/2,-z'
'x+1/2,-y+1/2,z'
loop_
_atom_site_label
_atom_site_fract_x
_atom_site_fract_y
_atom_site_fract_z
_atom_site_occupancy
Pa1 0.000 0.000 0.000 1
Os1 0.000 0.500 0.500 1
Br1 0.218 0.000 0.719 1
O1 0.000 0.286 0.255 1
O2 0.229 0.500 0.729 1
```

---

No. 6
VASP calculation (PBE) on a geometry-optimized InTeS3 structure.

Computed properties:
* crystal system: monoclinic
* formation energy from raw total energies: -0.065 eV/atom
* N(E_F): 1.5 states/eV/f.u.

CIF file:
```
data_InTeS3
_chemical_formula_sum 'In4 Te4 S12'
_space_group_name_H-M_alt 'C 1 2/m 1'
_space_group_IT_number 12
_cell_length_a 16.789
_cell_length_b 4.084
_cell_length_c 10.236
_cell_angle_alpha 90.00
_cell_angle_beta 114.86
_cell_angle_gamma 90.00
loop_
_space_group_symop_operation_xyz
'x,y,z'
'-x,-y,-z'
'-x,y,-z'
'x,-y,z'
'x+1/2,y+1/2,z'
'-x+1/2,-y+1/2,-z'
'-x+1/2,y+1/2,-z'
'x+1/2,-y+1/2,z'
loop_
_atom_site_label
_atom_site_fract_x
_atom_site_fract_y
_atom_site_fract_z
_atom_site_occupancy
In1 0.157 0.000 0.391 1
Te1 0.061 0.500 0.748 1
S1 0.075 0.500 0.207 1
S2 0.123 0.000 0.882 1
S3 0.186 0.500 0.581 1
```

---

No. 7
VASP calculation (PBE) on a geometry-optimized CsIn4Au2 structure.

Computed properties:
* crystal system: tetragonal
* energy of formation from the pure elements: -1.31 eV/f.u.
* N(E_F): 3.2 states/eV/f.u.

CIF file:
```
data_CsIn4Au2
_chemical_formula_sum 'Cs2 In8 Au4'
_space_group_name_H-M_alt 'P 42/m n m'
_space_group_IT_number 136
_space_group_name_Hall '-P 4n 2n'
_cell_length_a 9.250
_cell_length_b 9.250
_cell_length_c 4.590
_cell_angle_alpha 90.00
_cell_angle_beta 90.00
_cell_angle_gamma 90.00
loop_
_atom_site_label
_atom_site_fract_x
_atom_site_fract_y
_atom_site_fract_z
_atom_site_occupancy
Cs1 0.000 0.000 0.000 1
In1 0.078 0.336 0.500 1
Au1 0.224 0.776 0.500 1
```

---

No. 8
VASP calculation (PBE) on a geometry-optimized CaMg2Ga structure.

Computed properties:
* crystal system: tetragonal
* energy of formation from the pure elements: -0.92 eV/f.u.
* N(E_F): 2.5 states/eV/f.u.

CIF file:
```
data_CaMg2Ga
_chemical_formula_sum 'Ca2 Mg4 Ga2'
_space_group_name_H-M_alt 'P 4/n m m'
_space_group_IT_number 129
_cell_length_a 4.250
_cell_length_b 4.250
_cell_length_c 11.066
_cell_angle_alpha 90.00
_cell_angle_beta 90.00
_cell_angle_gamma 90.00
loop_
_space_group_symop_operation_xyz
'x,y,z'
'-x,-y,-z'
'-y+1/2,x,z'
'y+1/2,-x,-z'
'-x+1/2,-y+1/2,z'
'x+1/2,y+1/2,-z'
'y,-x+1/2,z'
'-y,x+1/2,-z'
'x+1/2,-y,-z'
'-x+1/2,y,z'
'-y,-x,-z'
'y,x,z'
'-x,y+1/2,-z'
'x,-y+1/2,z'
'y+1/2,x+1/2,-z'
'-y+1/2,-x+1/2,z'
loop_
_atom_site_label
_atom_site_fract_x
_atom_site_fract_y
_atom_site_fract_z
_atom_site_occupancy
Ca1 0.250 0.250 0.243 1
Mg1 0.250 0.250 0.934 1
Mg2 0.250 0.750 0.500 1
Ga1 0.250 0.250 0.672 1
```

---

No. 9
VASP calculation (PBE) on a geometry-optimized SbPI2 structure.

Computed properties:
* crystal system: cubic
* formation energy from raw total energies: 0.770 eV/atom
* N(E_F): 4.1 states/eV/f.u.

CIF file:
```
data_SbPI2
_chemical_formula_sum 'Sb4 P4 I8'
_space_group_name_H-M_alt 'F m -3 m'
_space_group_IT_number 225
_space_group_name_Hall '-F 4 2 3'
_cell_length_a 7.594
_cell_length_b 7.594
_cell_length_c 7.594
_cell_angle_alpha 90.00
_cell_angle_beta 90.00
_cell_angle_gamma 90.00
loop_
_atom_site_label
_atom_site_fract_x
_atom_site_fract_y
_atom_site_fract_z
_atom_site_occupancy
Sb1 0.000 0.000 0.000 1
P1 0.000 0.000 0.500 1
I1 0.250 0.250 0.250 1
```

---

No. 10
VASP calculation (PBE) on a geometry-optimized PrCoSi2Ni structure.

Computed properties:
* crystal system: tetragonal
* formation energy from raw total energies: -0.748 eV/atom
* N(E_F): 2.5 states/eV/f.u.

CIF file:
```
data_PrCoSi2Ni
_chemical_formula_sum 'Pr2 Co2 Si4 Ni2'
_space_group_name_H-M_alt 'I -4 m 2'
_space_group_IT_number 119
_space_group_name_Hall 'I -4 -2'
_cell_length_a 4.026
_cell_length_b 4.026
_cell_length_c 9.841
_cell_angle_alpha 90.00
_cell_angle_beta 90.00
_cell_angle_gamma 90.00
loop_
_atom_site_label
_atom_site_fract_x
_atom_site_fract_y
_atom_site_fract_z
_atom_site_occupancy
Pr1 0.000 0.000 0.000 1
Co1 0.000 0.500 0.250 1
Si1 0.000 0.000 0.368 1
Ni1 0.000 0.500 0.750 1
```

---

No. 11
VASP calculation (PBE) on a geometry-optimized NpAlGaSi structure.

Computed properties:
* crystal system: orthorhombic
* formation energy from raw total energies: -0.199 eV/atom
* N(E_F): 6.8 states/eV/f.u.

CIF file:
```
data_NpAlGaSi
_chemical_formula_sum 'Np1 Al1 Ga1 Si1'
_space_group_name_H-M_alt 'P m m m'
_space_group_IT_number 47
_cell_length_a 4.042
_cell_length_b 4.129
_cell_length_c 4.383
_cell_angle_alpha 90.00
_cell_angle_beta 90.00
_cell_angle_gamma 90.00
loop_
_space_group_symop_operation_xyz
'x,y,z'
'-x,-y,-z'
'-x,-y,z'
'x,y,-z'
'x,-y,-z'
'-x,y,z'
'-x,y,-z'
'x,-y,z'
loop_
_atom_site_label
_atom_site_fract_x
_atom_site_fract_y
_atom_site_fract_z
_atom_site_occupancy
Np1 0.000 0.000 0.000 1
Al1 0.000 0.500 0.500 1
Ga1 0.500 0.000 0.500 1
Si1 0.500 0.500 0.000 1
```

---

No. 12
VASP calculation (PBE) on a geometry-optimized LaPtI2 structure.

Computed properties:
* crystal system: cubic
* formation energy from raw total energies: -0.492 eV/atom
* N(E_F): 7.1 states/eV/f.u.

CIF file:
```
data_LaPtI2
_chemical_formula_sum 'La4 Pt4 I8'
_space_group_name_H-M_alt 'F m -3 m'
_space_group_IT_number 225
_space_group_name_Hall '-F 4 2 3'
_cell_length_a 7.653
_cell_length_b 7.653
_cell_length_c 7.653
_cell_angle_alpha 90.00
_cell_angle_beta 90.00
_cell_angle_gamma 90.00
loop_
_atom_site_label
_atom_site_fract_x
_atom_site_fract_y
_atom_site_fract_z
_atom_site_occupancy
La1 0.000 0.000 0.000 1
Pt1 0.000 0.000 0.500 1
I1 0.250 0.250 0.250 1
```

---

Which value of N(E_F) does entry 5 give?
6.7 states/eV/f.u.